(1)
VASP calculation (PBE) on a geometry-optimized Y2Zn6Ni3 structure.

The calculation puts the mass density at 6.67 g/cm3. The total energy comes out at -3.734 eV per atom. For the formation energy from the elements, the calculation gives -0.2871 eV per atom.

Cell lengths 7.4213, 7.4213, 3.8949 Å; angles 90.00, 90.00, 120.00 degrees
Space group P-62m (No. 189)
One atom of each set of equivalent atoms:
Y: 0.3333 0.6667 0.0000
Zn: 0.0000 0.2824 0.5000
Zn: 0.0000 0.8002 0.0000
Ni: 0.0000 0.6088 0.5000

=====

(2)
VASP calculation (PBE) on a geometry-optimized Dy6TlNi2 structure.

The calculation puts the mass density at 9.35 g/cm3. The total energy comes out at -4.932 eV per atom. For the formation energy from the elements, the calculation gives -0.3162 eV per atom.

Cell lengths 9.3292, 9.7675, 10.1116 Å; angles 90.00, 90.00, 90.00 degrees
Space group Immm (No. 71)
One atom of each set of equivalent atoms:
Dy: 0.0000 0.2052 0.2323
Dy: 0.1922 0.5000 0.1755
Dy: 0.2069 0.3170 0.5000
Tl: 0.0000 0.0000 0.0000
Tl: 0.0000 0.0000 0.5000
Ni: 0.0000 0.3567 0.0000
Ni: 0.0000 0.5000 0.3768

=====

(3)
VASP calculation (PBE) on a geometry-optimized CrB2W4 structure.

The calculation puts the mass density at 14.23 g/cm3. The total energy comes out at -10.351 eV per atom. For the formation energy from the elements, the calculation gives 0.3339 eV per atom.

Cell lengths 4.1600, 4.1600, 18.8974 Å; angles 90.00, 90.00, 120.00 degrees
Space group R-3m (No. 166, hexagonal axes)
One atom of each set of equivalent atoms:
Cr: 0.0000 0.0000 0.0000
B: 0.0000 0.0000 0.1078
W: 0.0000 0.0000 0.2235
W: 0.0000 0.0000 0.3836

=====

(4)
VASP calculation (PBE) on a geometry-optimized ZrMnPb2 structure.

The calculation puts the mass density at 9.29 g/cm3. The total energy comes out at -6.033 eV per atom. The energy above the most stable polymorph in this dataset comes out at 0.113 eV per atom. For the formation energy from the elements, the calculation gives 0.2510 eV per atom.

Cell lengths 3.2742, 3.2742, 32.3633 Å; angles 90.00, 90.00, 120.00 degrees
Space group R3m (No. 160, hexagonal axes)
One atom of each set of equivalent atoms:
Zr: 0.0000 0.0000 0.0000
Mn: 0.0000 0.0000 0.2668
Pb: 0.0000 0.0000 0.5231
Pb: 0.0000 0.0000 0.7520

=====

(5)
VASP calculation (PBE) on a geometry-optimized V3Re2 structure.

The calculation puts the mass density at 12.52 g/cm3. The total energy comes out at -10.772 eV per atom. The energy above the most stable polymorph in this dataset comes out at 0.000 eV per atom. For the formation energy from the elements, the calculation gives -0.3218 eV per atom.

Cell lengths 3.0314, 3.0314, 15.1593 Å; angles 90.00, 90.00, 90.00 degrees
Space group P4/mmm (No. 123)
One atom of each set of equivalent atoms:
V: 0.0000 0.0000 0.0000
V: 0.0000 0.0000 0.2009
V: 0.0000 0.0000 0.4008
V: 0.5000 0.5000 0.5000
Re: 0.5000 0.5000 0.1005
Re: 0.5000 0.5000 0.3018

=====

(6)
VASP calculation (PBE) on a geometry-optimized AgWAu2 structure.

The calculation puts the mass density at 14.80 g/cm3. The total energy comes out at -4.658 eV per atom. The energy above the most stable polymorph in this dataset comes out at 0.703 eV per atom. For the formation energy from the elements, the calculation gives 0.9321 eV per atom.

Cell lengths 7.4078, 7.4078, 5.6094 Å; angles 90.00, 90.00, 90.00 degrees
Space group I-42d (No. 122)
One atom of each set of equivalent atoms:
Ag: 0.0000 0.0000 0.0000
W: 0.0000 0.0000 0.5000
Au: 0.2349 0.7500 0.6250

=====

(7)
VASP calculation (PBE) on a geometry-optimized ScPbBr2 structure.

The calculation puts the mass density at 5.11 g/cm3. The total energy comes out at -4.191 eV per atom. The energy above the most stable polymorph in this dataset comes out at 0.138 eV per atom. Its raw formation energy is -81 kJ/mol of atoms.

Cell lengths 3.4639, 5.7498, 13.4300 Å; angles 90.00, 90.00, 90.00 degrees
Space group Immm (No. 71)
One atom of each set of equivalent atoms:
Sc: 0.0000 0.0000 0.0000
Pb: 0.0000 0.0000 0.5000
Br: 0.0000 0.5000 0.3443

=====

(8)
VASP calculation (PBE) on a geometry-optimized CeCuP structure.

The calculation puts the mass density at 6.11 g/cm3. The total energy comes out at -5.601 eV per atom. For the formation energy from the elements, the calculation gives -0.4542 eV per atom.

Cell lengths 6.6115, 6.6115, 5.8369 Å; angles 90.00, 90.00, 90.00 degrees
Space group P4_12_12 (No. 92)
One atom of each set of equivalent atoms:
Ce: 0.2330 0.2330 0.0000
Cu: 0.1613 0.8387 0.7500
P: 0.1009 0.1009 0.5000

=====

(9)
VASP calculation (PBE) on a geometry-optimized Ca2GaRu structure.

The calculation puts the mass density at 4.59 g/cm3. The total energy comes out at -3.471 eV per atom. For the formation energy from the elements, the calculation gives 0.6059 eV per atom.

Cell lengths 4.0611, 4.0611, 22.0378 Å; angles 90.00, 90.00, 90.00 degrees
Space group I-42d (No. 122)
One atom of each set of equivalent atoms:
Ca: 0.2430 0.2500 0.1250
Ga: 0.0000 0.0000 0.5000
Ru: 0.0000 0.0000 0.0000

=====

(10)
VASP calculation (PBE) on a geometry-optimized MgCd2Fe structure.

The calculation puts the mass density at 6.80 g/cm3. The total energy comes out at -2.816 eV per atom. For the formation energy from the elements, the calculation gives 0.1559 eV per atom.

Cell lengths 4.1362, 4.1678, 8.6340 Å; angles 90.00, 90.00, 90.00 degrees
Space group Cmm2 (No. 35)
One atom of each set of equivalent atoms:
Mg: 0.0000 0.0000 0.0000
Cd: 0.0000 0.0000 0.4350
Cd: 0.0000 0.5000 0.7221
Fe: 0.0000 0.5000 0.2121

=====

(11)
VASP calculation (PBE) on a geometry-optimized CrTe3S structure.

The calculation puts the mass density at 6.14 g/cm3. The total energy comes out at -4.057 eV per atom. The energy above the most stable polymorph in this dataset comes out at 0.000 eV per atom. Its raw formation energy is 56 kJ/mol of atoms.

Cell lengths 5.0162, 5.0162, 5.0162 Å; angles 90.00, 90.00, 90.00 degrees
Space group Pm-3m (No. 221)
One atom of each set of equivalent atoms:
Cr: 0.0000 0.0000 0.0000
Te: 0.0000 0.0000 0.5000
S: 0.5000 0.5000 0.5000

=====

(12)
VASP calculation (PBE) on a geometry-optimized Na3Ga2Te4 structure.

The calculation puts the mass density at 4.14 g/cm3. The total energy comes out at -3.099 eV per atom. The energy above the most stable polymorph in this dataset comes out at 0.000 eV per atom. Its raw formation energy is -57 kJ/mol of atoms.

Cell lengths 13.9410, 11.2869, 7.3347 Å; angles 90.00, 91.18, 90.00 degrees
Space group C2/c (No. 15)
One atom of each set of equivalent atoms:
Na: 0.0000 0.1099 0.2500
Na: 0.1251 0.3743 0.9330
Ga: 0.2036 0.1255 0.5841
Te: 0.1068 0.3294 0.4741
Te: 0.1537 0.0858 0.9338

=====

Q: Look up the mass density of the eighth one.
A: 6.11 g/cm3